1.
VASP calculation (GGA-PBE) on crystalline MnBeAg2C at its relaxed geometry.

- Formation enthalpy at 0 K: 0.90 eV/atom
- E_tot: -4.667 eV/atom
- Theoretical density: 6.6 Mg/m³
- Calculated volume: 73.52 Å³/f.u.
- DOS(E_F): 0.49 states/eV per atom

Cell: 4.7423 3.2693 4.7423 Å, 90.00 90.00 90.00°
Site moments in Bohr magnetons follow the coordinates.
Sites, in units of the cell vectors:
Ag (0.5000, 0.0000, 0.0000)  0.00
C (0.0000, 0.5000, 0.0000)  0.04
Ag (0.0000, 0.0000, 0.5000)  0.03
Be (0.0000, 0.0000, 0.0000)  0.00
Mn (0.5000, 0.5000, 0.5000)  4.08

2.
VASP calculation (GGA-PBE) on crystalline La4ErPu3S8 at its relaxed geometry.

- Uncorrected formation energy: -1.993 eV/atom
- E_tot: -8.261 eV/atom
- Theoretical density: 7.6 Mg/m³
- Calculated volume: 374.63 Å³/f.u.
- DOS(E_F): 1.57 states/eV per atom

Cell: 8.0547 8.1291 8.0547 Å, 119.70 120.00 90.00°
Site moments in Bohr magnetons follow the coordinates.
Sites, in units of the cell vectors:
S (0.7445, 0.7336, 0.4891)  -0.07
Pu (0.5000, 0.5000, 0.0000)  5.31
Pu (0.5000, 0.5000, 0.5000)  5.31
La (0.5000, 0.0000, 0.0000)  0.06
S (0.2422, 0.7321, 0.4843)  -0.04
S (0.7578, 0.2679, 0.5157)  -0.04
La (0.5000, 0.0000, 0.5000)  0.03
S (0.2422, 0.7321, 0.9900)  -0.04
La (0.0000, 0.0000, 0.5000)  0.03
S (0.2522, 0.2679, 0.0100)  -0.04
Er (0.0000, 0.5000, 0.0000)  0.07
S (0.7478, 0.7321, 0.9900)  -0.04
La (0.0000, 0.0000, 0.0000)  0.03
S (0.2555, 0.2664, 0.5109)  -0.07
S (0.7578, 0.2679, 0.0100)  -0.04
Pu (0.0000, 0.5000, 0.5000)  5.31

3.
VASP calculation (GGA-PBE) on crystalline LaPm2Al6 at its relaxed geometry.

- Formation enthalpy at 0 K: -0.47 eV/atom
- E_tot: -4.572 eV/atom
- Theoretical density: 4.7 Mg/m³
- Calculated volume: 207.65 Å³/f.u.
- DOS(E_F): 0.59 states/eV per atom

Cell: 3.7681 7.9770 7.9770 Å, 120.00 90.00 90.00°
Sites, in units of the cell vectors:
Al (0.5000, 0.6651, 0.6651)
Al (0.5000, 0.3349, 0.3349)
Pm (0.0000, 0.6667, 0.3333)
Pm (0.0000, 0.3333, 0.6667)
Al (0.5000, 0.3349, 0.0000)
Al (0.5000, 0.6651, 0.0000)
La (0.0000, 0.0000, 0.0000)
Al (0.5000, 0.0000, 0.3349)
Al (0.5000, 0.0000, 0.6651)

4.
VASP calculation (GGA-PBE) on crystalline CsNa2As at its relaxed geometry.

- Formation enthalpy at 0 K: -0.35 eV/atom
- E_tot: -2.387 eV/atom
- Theoretical density: 2.9 Mg/m³
- Calculated volume: 143.57 Å³/f.u.
- DOS(E_F): 0.21 states/eV per atom

Cell: 5.1060 5.1060 7.0088 Å, 68.64 68.64 60.00°
Sites, in units of the cell vectors:
Cs (0.5000, 0.5000, 0.5000)
Na (0.3050, 0.3050, 0.0849)
As (0.0000, 0.0000, 0.0000)
Na (0.6950, 0.6950, 0.9151)